Record 1
# CsRbBaPPt

Crystalline CsRbBaPPt at its relaxed geometry (PBE, Alexandria).

Output
Spin magnetization   0.37 μB per formula unit
E above lowest polymorph   46 meV/atom
E   -3.4991 eV per atom
Symmetry   P1
Formation enthalpy at 0 K   -0.4601 eV per atom

Unit cell a=4.418 b=5.239 c=12.987 alpha=89.19 beta=88.54 gamma=65.39
Sites, in units of the cell vectors:
Pt: 0.080 0.228 0.380
Ba: 0.808 0.794 0.256
Cs: 0.480 0.337 0.915
P: 0.512 0.365 0.382
Rb: 0.780 0.797 0.551

Record 2
# CsRbBaPPt

Crystalline CsRbBaPPt at its relaxed geometry (PBE, Alexandria).

Output
Spin magnetization   0.00 μB per formula unit
E above lowest polymorph   89 meV/atom
E   -3.4565 eV per atom
Symmetry   R3m
Formation enthalpy at 0 K   -0.4176 eV per atom

Unit cell a=5.311 b=5.311 c=30.241 alpha=90.00 beta=90.00 gamma=120.00
Sites, in units of the cell vectors:
Ba: 0.000 0.000 0.100
Ba: 0.333 0.667 0.766
Ba: 0.667 0.333 0.433
Rb: 0.667 0.333 0.863
Rb: 0.333 0.667 0.197
Rb: 0.000 0.000 0.530
Cs: 0.667 0.333 0.665
Cs: 0.000 0.000 0.331
Cs: 0.333 0.667 0.998
P: 0.000 0.000 0.729
P: 0.667 0.333 0.062
P: 0.333 0.667 0.395
Pt: 0.333 0.667 0.472
Pt: 0.000 0.000 0.805
Pt: 0.667 0.333 0.138

Record 3
# CsBaPS4

Crystalline CsBaPS4 at its relaxed geometry (PBE, Alexandria).

Output
Spin magnetization   0.00 μB per formula unit
Formation energy without anion corrections   -1.215 eV per atom
E above lowest polymorph   5 meV/atom
E   -4.7429 eV per atom
Symmetry   Pnma

Unit cell a=6.938 b=10.182 c=12.049 alpha=90.00 beta=90.00 gamma=90.00
Sites, in units of the cell vectors:
Cs: 0.750 0.357 0.578
Cs: 0.250 0.857 0.922
Cs: 0.750 0.143 0.078
Cs: 0.250 0.643 0.422
S: 0.250 0.223 0.071
S: 0.508 0.874 0.228
S: 0.250 0.942 0.585
S: 0.008 0.374 0.272
S: 0.492 0.126 0.772
S: 0.750 0.723 0.429
S: 0.750 0.442 0.915
S: 0.750 0.777 0.929
S: 0.250 0.558 0.085
S: 0.750 0.058 0.415
S: 0.008 0.126 0.772
S: 0.250 0.277 0.571
S: 0.992 0.626 0.728
S: 0.992 0.874 0.228
S: 0.508 0.626 0.728
S: 0.492 0.374 0.272
Ba: 0.250 0.102 0.351
Ba: 0.750 0.898 0.649
Ba: 0.250 0.398 0.851
Ba: 0.750 0.602 0.149
P: 0.250 0.115 0.673
P: 0.750 0.885 0.327
P: 0.750 0.615 0.827
P: 0.250 0.385 0.173

Record 4
# Cs3BaP2S6

Crystalline Cs3BaP2S6 at its relaxed geometry (PBE, Alexandria).

Output
Spin magnetization   1.00 μB per formula unit
Formation energy without anion corrections   -0.953 eV per atom
E   -4.2922 eV per atom
Symmetry   P-3m1

Unit cell a=7.592 b=7.592 c=9.324 alpha=90.00 beta=90.00 gamma=120.00
Sites, in units of the cell vectors:
Cs: 0.000 0.000 0.000
Cs: 0.333 0.667 0.652
Cs: 0.667 0.333 0.348
P: 0.667 0.333 0.781
P: 0.333 0.667 0.219
S: 0.816 0.184 0.706
S: 0.368 0.184 0.706
S: 0.816 0.632 0.706
S: 0.184 0.368 0.294
S: 0.184 0.816 0.294
S: 0.632 0.816 0.294
Ba: 0.000 0.000 0.500

Record 5
# CsBaPS2

Crystalline CsBaPS2 at its relaxed geometry (PBE, Alexandria).

Output
Spin magnetization   4.04 μB per formula unit
Formation energy without anion corrections   -0.109 eV per atom
E above lowest polymorph   0 meV/atom
E   -3.3975 eV per atom
Symmetry   P4/mmm

Unit cell a=6.043 b=6.043 c=6.355 alpha=90.00 beta=90.00 gamma=90.00
Sites, in units of the cell vectors:
Ba: 0.000 0.000 0.000
S: 0.000 0.500 0.000
S: 0.500 0.000 0.000
Cs: 0.500 0.500 0.500
P: 0.000 0.000 0.500

Record 6
# CsBaPS4

Crystalline CsBaPS4 at its relaxed geometry (PBE, Alexandria).

Output
Spin magnetization   0.00 μB per formula unit
Formation energy without anion corrections   -1.220 eV per atom
E above lowest polymorph   0 meV/atom
E   -4.7478 eV per atom
Symmetry   P2_1/m

Unit cell a=6.827 b=6.889 c=9.989 alpha=90.00 beta=106.90 gamma=90.00
Sites, in units of the cell vectors:
S: 0.003 0.491 0.740
S: 0.997 0.991 0.260
S: 0.003 0.009 0.740
S: 0.997 0.509 0.260
S: 0.389 0.750 0.191
S: 0.325 0.750 0.518
S: 0.675 0.250 0.482
S: 0.611 0.250 0.809
Ba: 0.773 0.750 0.466
Ba: 0.227 0.250 0.534
Cs: 0.286 0.250 0.068
Cs: 0.714 0.750 0.932
P: 0.183 0.750 0.304
P: 0.817 0.250 0.696

E of number 2 (CsRbBaPPt)?
-3.4565 eV per atom

Among the records above, which one has the lowest E?
number 6

Number 1 is which compound?
CsRbBaPPt